# La2DyRhO6 PBE optimized geometry
data_La2DyRhO6
_chemical_formula_sum 'La4 Dy2 Rh2 O12'
_space_group_name_H-M_alt 'P 1'
_space_group_IT_number 1
_space_group_name_Hall 'P 1'
_cell_length_a 5.7407
_cell_length_b 5.9631
_cell_length_c 9.9222
_cell_angle_alpha 90.00
_cell_angle_beta 124.05
_cell_angle_gamma 90.00
loop_
_atom_site_label
_atom_site_fract_x
_atom_site_fract_y
_atom_site_fract_z
La1 0.2308 0.0562 0.2491
La2 0.2308 0.4438 0.7491
La3 0.7692 0.5562 0.2509
La4 0.7692 0.9438 0.7509
Dy1 0.5000 0.0000 0.0000
Dy2 0.5000 0.5000 0.5000
Rh1 0.0000 0.0000 0.5000
Rh2 0.0000 0.5000 0.0000
O1 0.1292 0.2078 0.9414
O2 0.1292 0.2922 0.4414
O3 0.2344 0.6954 0.9418
O4 0.2344 0.8046 0.4418
O5 0.3526 0.0430 0.7390
O6 0.3526 0.4570 0.2390
O7 0.6474 0.5430 0.7610
O8 0.6474 0.9570 0.2610
O9 0.7656 0.1954 0.5582
O10 0.7656 0.3046 0.0582
O11 0.8708 0.7078 0.5586
O12 0.8708 0.7922 0.0586
# **Formation energy without anion corrections**: -2776 meV/atom